Below is a geometry-optimized RbLiZrTe3 structure, with properties calculated at the PBE level.

a b c (Å): 16.4240 4.2682 11.4882
angles (deg): 90.00 90.00 90.00
Atoms (fractional coordinates):
Rb  0.2302  0.2500  0.0373
Rb  0.2698  0.7500  0.5373
Rb  0.7302  0.2500  0.4627
Rb  0.7698  0.7500  0.9627
Li  0.0148  0.7500  0.0932
Li  0.4852  0.2500  0.5932
Li  0.5148  0.7500  0.4068
Li  0.9852  0.2500  0.9068
Zr  0.0139  0.2500  0.3306
Zr  0.4861  0.7500  0.8306
Zr  0.5139  0.2500  0.1694
Zr  0.9861  0.7500  0.6694
Te  0.0859  0.7500  0.8702
Te  0.0894  0.2500  0.5686
Te  0.1293  0.7500  0.2667
Te  0.3707  0.2500  0.7667
Te  0.4106  0.7500  0.0686
Te  0.4141  0.2500  0.3702
Te  0.5859  0.7500  0.6298
Te  0.5894  0.2500  0.9314
Te  0.6293  0.7500  0.2333
Te  0.8707  0.2500  0.7333
Te  0.9106  0.7500  0.4314
Te  0.9141  0.2500  0.1298

## Properties
Energy, eV/atom: -4.471

=====

Below is a geometry-optimized HfZrAlZn2 structure, with properties calculated at the PBE level.

a b c (Å): 3.1045 6.9989 6.9989
angles (deg): 35.66 90.00 90.00
Atoms (fractional coordinates):
Hf  0.0000  0.0000  0.0000
Zr  0.0000  0.7695  0.7695
Al  0.5000  0.3851  0.3851
Zn  0.5000  0.1837  0.1837
Zn  0.5000  0.5828  0.5828

## Properties
Energy, eV/atom: -5.289